VASP calculation (GGA-PBE) on LaNd2PbO after structural relaxation.

## Properties
ρ (g cm⁻³): 8.47
Spin magnetization (μB/f.u.): 0.00
Symmetry: P4/mmm, No. 123
N(E_F) (states/eV/atom): 0.862
Energy relative to the elements, uncorrected (eV per atom): -1.40

POSCAR file:
```
LaNd2PbO
1.0
5.031 0.000 0.000
0.000 5.031 0.000
0.000 0.000 5.041
La Nd Pb O
1 2 1 1
direct
0.000 0.000 0.000
0.000 0.500 0.500
0.500 0.000 0.500
0.500 0.500 0.000
0.000 0.000 0.500
```

***

VASP calculation (GGA-PBE) on Cs4Rb6Cd after structural relaxation.

## Properties
ρ (g cm⁻³): 1.91
ΔE_f (kJ/mol of atoms): 4.12
Spin magnetization (μB/f.u.): 0.00
Symmetry: P4/mnc, No. 128
N(E_F) (states/eV/atom): 0.838

POSCAR file:
```
Cs4Rb6Cd
1.0
12.530 0.000 0.000
0.000 12.530 0.000
0.000 0.000 12.822
Cs Rb Cd
8 12 2
direct
0.142 0.358 0.250
0.142 0.358 0.750
0.358 0.858 0.250
0.358 0.858 0.750
0.642 0.142 0.250
0.642 0.142 0.750
0.858 0.642 0.250
0.858 0.642 0.750
0.000 0.000 0.192
0.000 0.000 0.808
0.131 0.704 0.500
0.204 0.631 0.000
0.296 0.131 0.500
0.369 0.204 0.000
0.500 0.500 0.308
0.500 0.500 0.692
0.631 0.796 0.000
0.704 0.869 0.500
0.796 0.369 0.000
0.869 0.296 0.500
0.000 0.000 0.500
0.500 0.500 0.000
```

***

VASP calculation (GGA-PBE) on ZnRe3N after structural relaxation.

## Properties
ρ (g cm⁻³): 15.79
Spin magnetization (μB/f.u.): 0.00
Symmetry: Pm-3m, No. 221
N(E_F) (states/eV/atom): 0.839
Energy relative to the elements, uncorrected (eV per atom): 0.41

POSCAR file:
```
ZnRe3N
1.0
4.064 0.000 0.000
0.000 4.064 0.000
0.000 0.000 4.064
Zn Re N
1 3 1
direct
0.000 0.000 0.000
0.000 0.500 0.500
0.500 0.000 0.500
0.500 0.500 0.000
0.500 0.500 0.500
```

***

VASP calculation (GGA-PBE) on SrAcNdDy after structural relaxation.

## Properties
ρ (g cm⁻³): 6.44
ΔE_f (kJ/mol of atoms): 18.27
Spin magnetization (μB/f.u.): 0.00
Symmetry: F-43m, No. 216
N(E_F) (states/eV/atom): 1.598

POSCAR file:
```
SrAcNdDy
1.0
8.624 0.000 0.000
0.000 8.624 0.000
0.000 0.000 8.624
Sr Ac Nd Dy
4 4 4 4
direct
0.000 0.000 0.000
0.000 0.500 0.500
0.500 0.000 0.500
0.500 0.500 0.000
0.250 0.250 0.250
0.250 0.750 0.750
0.750 0.250 0.750
0.750 0.750 0.250
0.250 0.250 0.750
0.250 0.750 0.250
0.750 0.250 0.250
0.750 0.750 0.750
0.000 0.000 0.500
0.000 0.500 0.000
0.500 0.000 0.000
0.500 0.500 0.500
```

***

VASP calculation (GGA-PBE) on Pu4Pa2Si3 after structural relaxation.

## Properties
ρ (g cm⁻³): 13.12
Spin magnetization (μB/f.u.): 23.28
Symmetry: C2/m, No. 12
N(E_F) (states/eV/atom): 2.353
Energy relative to the elements, uncorrected (eV per atom): -0.36

POSCAR file:
```
Pu4Pa2Si3
1.0
4.821 -1.904 0.000
4.821 1.904 0.000
-4.470 0.000 10.498
Pu Pa Si
4 2 3
direct
0.157 0.157 0.386
0.161 0.161 0.056
0.839 0.839 0.944
0.843 0.843 0.614
0.150 0.150 0.718
0.850 0.850 0.282
0.496 0.496 0.832
0.500 0.500 0.500
0.504 0.504 0.168
```

***

VASP calculation (GGA-PBE) on GaHBr after structural relaxation.

## Properties
ρ (g cm⁻³): 2.36
Spin magnetization (μB/f.u.): 1.00
Uncorrected energy (eV per atom): -2.317
Symmetry: P1, No. 1

POSCAR file:
```
GaHBr
1.0
3.830 0.000 0.000
-0.002 4.709 0.000
-0.012 -0.010 11.777
Ga H Br
2 2 2
direct
0.000 0.000 0.000
0.000 0.500 0.074
0.497 0.998 0.429
0.498 0.498 0.640
0.499 0.999 0.853
0.501 0.500 0.221
```

***

VASP calculation (GGA-PBE) on BaP2Br after structural relaxation.

## Properties
ρ (g cm⁻³): 2.71
Spin magnetization (μB/f.u.): 0.00
Symmetry: P4/mmm, No. 123
N(E_F) (states/eV/atom): 0.733
Energy relative to the elements, uncorrected (eV per atom): -0.34

POSCAR file:
```
BaP2Br
1.0
5.372 0.000 0.000
0.000 5.372 0.000
0.000 0.000 5.920
Ba P Br
1 2 1
direct
0.000 0.000 0.000
0.500 0.500 0.334
0.500 0.500 0.666
0.000 0.000 0.500
```

***

VASP calculation (GGA-PBE) on La2GaBi2 after structural relaxation.

## Properties
ρ (g cm⁻³): 7.74
ΔE_f (kJ/mol of atoms): -57.79
Spin magnetization (μB/f.u.): 0.00
Symmetry: P4/mbm, No. 127
N(E_F) (states/eV/atom): 1.008

POSCAR file:
```
La2GaBi2
1.0
8.622 0.000 0.000
0.000 8.622 0.000
0.000 0.000 4.418
La Ga Bi
4 2 4
direct
0.147 0.353 0.000
0.353 0.853 0.000
0.647 0.147 0.000
0.853 0.647 0.000
0.000 0.000 0.000
0.500 0.500 0.000
0.162 0.662 0.500
0.338 0.162 0.500
0.662 0.838 0.500
0.838 0.338 0.500
```

***

VASP calculation (GGA-PBE) on Lu2CoGe after structural relaxation.

## Properties
ρ (g cm⁻³): 10.26
ΔE_f (kJ/mol of atoms): -44.62
Spin magnetization (μB/f.u.): 0.65
Symmetry: P4/mmm, No. 123
N(E_F) (states/eV/atom): 0.397

POSCAR file:
```
Lu2CoGe
1.0
3.335 0.000 0.000
0.000 3.335 0.000
0.000 0.000 7.005
Lu Co Ge
2 1 1
direct
0.000 0.000 0.229
0.000 0.000 0.771
0.500 0.500 0.000
0.500 0.500 0.500
```

***

VASP calculation (GGA-PBE) on LiTm2WN4 after structural relaxation.

## Properties
ρ (g cm⁻³): 9.55
Spin magnetization (μB/f.u.): 0.00
Symmetry: Fmm2, No. 42
N(E_F) (states/eV/atom): 0.252
Energy relative to the elements, uncorrected (eV per atom): -1.14

POSCAR file:
```
LiTm2WN4
1.0
0.000 4.667 3.324
3.277 0.000 3.324
3.277 4.667 0.000
Li Tm W N
1 2 1 4
direct
0.000 0.000 0.000
0.255 0.255 0.245
0.755 0.755 0.745
0.449 0.449 0.551
0.046 0.504 0.954
0.299 0.726 0.274
0.504 0.046 0.496
0.726 0.299 0.701
```

***

VASP calculation (GGA-PBE) on SrTaAs2Pt after structural relaxation.

## Properties
ρ (g cm⁻³): 6.91
ΔE_f (kJ/mol of atoms): 54.49
Spin magnetization (μB/f.u.): 0.00
Symmetry: P4/mmm, No. 123
N(E_F) (states/eV/atom): 0.675

POSCAR file:
```
SrTaAs2Pt
1.0
4.870 0.000 0.000
0.000 4.870 0.000
0.000 0.000 6.211
Sr Ta As Pt
1 1 2 1
direct
0.000 0.000 0.000
0.000 0.000 0.500
0.000 0.500 0.500
0.500 0.000 0.500
0.500 0.500 0.000
```

***

VASP calculation (GGA-PBE) on TlVGaIr2 after structural relaxation.

## Properties
ρ (g cm⁻³): 11.43
ΔE_f (kJ/mol of atoms): 78.60
Spin magnetization (μB/f.u.): 0.00
Symmetry: P4/mmm, No. 123
N(E_F) (states/eV/atom): 0.958

POSCAR file:
```
TlVGaIr2
1.0
4.604 0.000 0.000
0.000 4.604 0.000
0.000 0.000 4.861
Tl V Ga Ir
1 1 1 2
direct
0.000 0.000 0.000
0.500 0.500 0.500
0.500 0.500 0.000
0.000 0.500 0.500
0.500 0.000 0.500
```